Entry 1:
VASP calculation (PBE-GGA) on a relaxed PmNd2Te4 crystal.

Structure (extended XYZ):
```
7
Lattice="-4.2671 0.1759 -1.3538 -2.0359 -4.8766 5.7834 1.9884 8.2380 2.2160" Properties=species:S:1:pos:R:3 pbc="T T T"
Pm 0.0000 0.0000 0.0000
Nd -0.5803 3.1067 2.2328
Nd -3.7342 0.4306 4.4128
Te -1.6537 -1.8627 4.9706
Te -2.6607 5.4000 1.6751
Te -1.5633 2.6811 5.2758
Te -2.7512 0.8562 1.3699
```

Results
Uncorrected formation energy   -1.42 eV/atom
Size of the total moment   0.00 μB/f.u.
Space-group type   C2/m

Entry 2:
VASP calculation (PBE-GGA) on a relaxed AcScCuRh crystal.

Structure (extended XYZ):
```
4
Lattice="4.9954 0.0000 0.0000 2.4977 4.3261 0.0000 2.4977 1.4420 4.0787" Properties=species:S:1:pos:R:3 pbc="T T T"
Sc 4.9954 2.8841 2.0394
Ac 0.0000 0.0000 0.0000
Rh 7.4931 4.3261 3.0590
Cu 2.4977 1.4420 1.0197
```

Results
Energy relative to the elements   -311 meV/atom
Size of the total moment   0.00 μB/f.u.
Space-group type   F-43m

Entry 3:
VASP calculation (PBE-GGA) on a relaxed NdHo3In2 crystal.

Structure (extended XYZ):
```
12
Lattice="5.2197 0.0000 0.0000 0.0000 6.7403 0.0000 0.0000 0.0000 9.8645" Properties=species:S:1:pos:R:3 pbc="T T T"
Nd 2.6099 3.6287 5.3012
Nd 2.6099 0.2585 4.5633
Ho 0.0000 3.1370 9.4688
Ho 0.0000 6.5072 0.3956
Ho 2.6099 4.6061 1.7535
Ho 2.6099 1.2360 8.1110
Ho 0.0000 2.1296 3.0949
Ho 0.0000 5.4997 6.7696
In 2.6099 4.7986 8.4850
In 2.6099 1.4285 1.3795
In 0.0000 1.9207 6.3694
In 0.0000 5.2909 3.4951
```

Results
Energy relative to the elements   -351 meV/atom
Size of the total moment   0.00 μB/f.u.
Space-group type   Pmc2_1